Entry 1:
The following is a DFT calculation (SCAN) of AgSb2H at its PBEsol-relaxed geometry.

The structure in CIF format:
```
data_AgSb2H
_chemical_formula_sum 'Ag2 Sb4 H2'
_space_group_name_H-M_alt 'P 1'
_space_group_IT_number 1
_cell_length_a 4.668
_cell_length_b 4.668
_cell_length_c 8.478
_cell_angle_alpha 105.98
_cell_angle_beta 105.98
_cell_angle_gamma 90.00
loop_
_space_group_symop_operation_xyz
'x,y,z'
loop_
_atom_site_label
_atom_site_type_symbol
_atom_site_fract_x
_atom_site_fract_y
_atom_site_fract_z
_atom_site_occupancy
Ag1 Ag 0.000 0.000 0.000 1
Ag2 Ag 0.250 0.750 0.500 1
Sb1 Sb 0.125 0.190 0.750 1
Sb2 Sb 0.625 0.560 0.750 1
Sb3 Sb 0.440 0.875 0.250 1
Sb4 Sb 0.810 0.375 0.250 1
H1 H 0.500 0.500 0.000 1
H2 H 0.750 0.250 0.500 1
```

E: -26.875 eV per atom
crystal system: tetragonal

---

Entry 2:
The following is a DFT calculation (SCAN) of Ag2Sb2H at its PBEsol-relaxed geometry.

The structure in CIF format:
```
data_Ag2Sb2H
_chemical_formula_sum 'Ag4 Sb4 H2'
_space_group_name_H-M_alt 'P 1'
_space_group_IT_number 1
_cell_length_a 3.000
_cell_length_b 8.489
_cell_length_c 8.489
_cell_angle_alpha 90.00
_cell_angle_beta 90.00
_cell_angle_gamma 90.00
loop_
_space_group_symop_operation_xyz
'x,y,z'
loop_
_atom_site_label
_atom_site_type_symbol
_atom_site_fract_x
_atom_site_fract_y
_atom_site_fract_z
_atom_site_occupancy
Sb1 Sb 0.500 0.648 0.852 1
Sb2 Sb 0.500 0.148 0.648 1
Sb3 Sb 0.500 0.352 0.148 1
Sb4 Sb 0.500 0.852 0.352 1
Ag1 Ag 0.000 0.150 0.350 1
Ag2 Ag 0.000 0.350 0.850 1
Ag3 Ag 0.000 0.850 0.650 1
Ag4 Ag 0.000 0.650 0.150 1
H1 H 0.000 0.500 0.500 1
H2 H 0.000 0.000 0.000 1
```

E: -27.568 eV per atom
crystal system: tetragonal